Tl2SiTcPd (GGA-PBE, relaxed); SG = No. 123; density = 8.584 Mg/m³; ΔE_f (raw) = 1.019 eV per atom; magnetic moment = 3.78 Bohr magnetons per cell
1.0
5.232 0.000 0.000
0.000 5.232 0.000
0.000 0.000 4.532
Tl Si Tc Pd
2 1 1 1
Direct
0.000 0.500 0.000 Tl
0.500 0.000 0.000 Tl
0.000 0.000 0.000 Si
0.500 0.500 0.500 Tc
0.000 0.000 0.500 Pd